{"formula": "TiNi2O4", "functional": "PBE+U", "state": "relaxed", "lattice": [[0.563, -0.197, 5.919], [-4.124, -4.280, 0.251], [1.225, -5.157, 2.702]], "species": ["Ni", "O", "O", "Ni", "O", "Ti", "O", "Ni", "Ti", "Ni", "O", "O", "O", "O"], "frac_coords": [[0.500, 0.000, 0.000], [0.252, 0.756, 0.996], [0.744, 0.248, 0.504], [0.500, 0.500, 0.500], [0.748, 0.752, 0.496], [0.125, 0.375, 0.250], [0.748, 0.244, 0.004], [0.500, 0.000, 0.500], [0.875, 0.625, 0.750], [0.000, 0.000, 0.000], [0.252, 0.248, 0.504], [0.252, 0.248, 0.996], [0.748, 0.752, 0.004], [0.256, 0.752, 0.496]], "energy_ev_per_atom": -6.64, "dos_ef_per_ev_cell": 0.0}